No. 1
# Zr2AlCu (meta-GGA SCAN, single point on PBEsol structure)
# energy of formation	-0.32	eV/atom
# theoretical density	6.39	g cm⁻³
# total energy	-0.787	hartree per atom
data_Zr2AlCu
_chemical_formula_sum 'Zr2 Al1 Cu1'
_symmetry_space_group_name_H-M 'P 1'
_symmetry_Int_Tables_number 1
_symmetry_space_group_name_Hall 'P 1'
_cell_length_a 3.1312
_cell_length_b 4.7825
_cell_length_c 5.5305
_cell_angle_alpha 115.62
_cell_angle_beta 106.44
_cell_angle_gamma 90.00
loop_
_atom_site_label
_atom_site_type_symbol
_atom_site_fract_x
_atom_site_fract_y
_atom_site_fract_z
Cu1 Cu 0.2335 0.7335 0.4669
Zr1 Zr 0.9812 0.9812 0.9624
Zr2 Zr 0.7536 0.2536 0.5072
Al1 Al 0.5317 0.5317 0.0635

---

No. 2
# ZrAl3Cu3 (meta-GGA SCAN, single point on PBEsol structure)
# energy of formation	-0.40	eV/atom
# theoretical density	5.85	g cm⁻³
# total energy	-0.537	hartree per atom
data_ZrAl3Cu3
_chemical_formula_sum 'Zr2 Al6 Cu6'
_symmetry_space_group_name_H-M 'P 1'
_symmetry_Int_Tables_number 1
_symmetry_space_group_name_Hall 'P 1'
_cell_length_a 4.0375
_cell_length_b 6.4972
_cell_length_c 7.8480
_cell_angle_alpha 90.00
_cell_angle_beta 90.00
_cell_angle_gamma 90.00
loop_
_atom_site_label
_atom_site_type_symbol
_atom_site_fract_x
_atom_site_fract_y
_atom_site_fract_z
Zr1 Zr 0.0000 0.5000 0.2427
Zr2 Zr 0.5000 0.0000 0.7573
Al1 Al 0.0000 0.2948 0.6167
Al2 Al 0.0000 0.7052 0.6167
Al3 Al 0.5000 0.7948 0.3833
Al4 Al 0.5000 0.2052 0.3833
Al5 Al 0.0000 0.0000 0.1216
Al6 Al 0.5000 0.5000 0.8784
Cu1 Cu 0.0000 0.2864 0.9190
Cu2 Cu 0.0000 0.7136 0.9190
Cu3 Cu 0.5000 0.7864 0.0810
Cu4 Cu 0.5000 0.2136 0.0810
Cu5 Cu 0.0000 0.0000 0.4391
Cu6 Cu 0.5000 0.5000 0.5609

---

No. 3
# Zr2AlCu (meta-GGA SCAN, single point on PBEsol structure)
# energy of formation	-0.29	eV/atom
# theoretical density	6.39	g cm⁻³
# total energy	-0.785	hartree per atom
data_Zr2AlCu
_chemical_formula_sum 'Zr2 Al1 Cu1'
_symmetry_space_group_name_H-M 'P 1'
_symmetry_Int_Tables_number 1
_symmetry_space_group_name_Hall 'P 1'
_cell_length_a 3.1487
_cell_length_b 4.8451
_cell_length_c 4.8451
_cell_angle_alpha 106.28
_cell_angle_beta 90.00
_cell_angle_gamma 90.00
loop_
_atom_site_label
_atom_site_type_symbol
_atom_site_fract_x
_atom_site_fract_y
_atom_site_fract_z
Cu1 Cu 0.5000 0.5000 0.5000
Zr1 Zr 0.0000 0.5000 0.0000
Zr2 Zr 0.0000 0.0000 0.5000
Al1 Al 0.5000 0.0000 0.0000

---

No. 4
# Zr5AlCu2 (meta-GGA SCAN, single point on PBEsol structure)
# energy of formation	-0.22	eV/atom
# theoretical density	6.86	g cm⁻³
# total energy	-0.889	hartree per atom
data_Zr5AlCu2
_chemical_formula_sum 'Zr5 Al1 Cu2'
_symmetry_space_group_name_H-M 'P 1'
_symmetry_Int_Tables_number 1
_symmetry_space_group_name_Hall 'P 1'
_cell_length_a 4.2864
_cell_length_b 4.2864
_cell_length_c 8.5911
_cell_angle_alpha 104.45
_cell_angle_beta 104.45
_cell_angle_gamma 90.00
loop_
_atom_site_label
_atom_site_type_symbol
_atom_site_fract_x
_atom_site_fract_y
_atom_site_fract_z
Al1 Al 0.0000 0.0000 0.0000
Cu1 Cu 0.2484 0.2484 0.4968
Cu2 Cu 0.7516 0.7516 0.5032
Zr1 Zr 0.5000 0.5000 0.0000
Zr2 Zr 0.1354 0.6354 0.2708
Zr3 Zr 0.6354 0.1354 0.2708
Zr4 Zr 0.8646 0.3646 0.7292
Zr5 Zr 0.3646 0.8646 0.7292

---

No. 5
# Dy2Al17 (meta-GGA SCAN, single point on PBEsol structure)
# energy of formation	-0.11	eV/atom
# theoretical density	3.85	g cm⁻³
# total energy	-0.444	hartree per atom
data_Dy2Al17
_chemical_formula_sum 'Dy4 Al34'
_symmetry_space_group_name_H-M 'P 1'
_symmetry_Int_Tables_number 1
_symmetry_space_group_name_Hall 'P 1'
_cell_length_a 8.8218
_cell_length_b 9.4057
_cell_length_c 9.4057
_cell_angle_alpha 120.00
_cell_angle_beta 90.00
_cell_angle_gamma 90.00
loop_
_atom_site_label
_atom_site_type_symbol
_atom_site_fract_x
_atom_site_fract_y
_atom_site_fract_z
Dy1 Dy 0.2500 0.0000 0.0000
Dy2 Dy 0.7500 0.0000 0.0000
Dy3 Dy 0.7500 0.3333 0.6667
Dy4 Dy 0.2500 0.6667 0.3333
Al1 Al 0.1007 0.3333 0.6667
Al2 Al 0.8993 0.6667 0.3333
Al3 Al 0.6007 0.6667 0.3333
Al4 Al 0.3993 0.3333 0.6667
Al5 Al 0.0000 0.5000 0.5000
Al6 Al 0.0000 0.0000 0.5000
Al7 Al 0.0000 0.5000 0.0000
Al8 Al 0.5000 0.5000 0.5000
Al9 Al 0.5000 0.0000 0.5000
Al10 Al 0.5000 0.5000 0.0000
Al11 Al 0.2500 0.6357 0.6732
Al12 Al 0.2500 0.0375 0.3643
Al13 Al 0.2500 0.3268 0.9625
Al14 Al 0.2500 0.3268 0.3643
Al15 Al 0.2500 0.6357 0.9625
Al16 Al 0.2500 0.0375 0.6732
Al17 Al 0.7500 0.3643 0.3268
Al18 Al 0.7500 0.9625 0.6357
Al19 Al 0.7500 0.6732 0.0375
Al20 Al 0.7500 0.6732 0.6357
Al21 Al 0.7500 0.3643 0.0375
Al22 Al 0.7500 0.9625 0.3268
Al23 Al 0.9759 0.1636 0.8364
Al24 Al 0.9759 0.6727 0.8364
Al25 Al 0.9759 0.1636 0.3273
Al26 Al 0.0241 0.8364 0.1636
Al27 Al 0.0241 0.3273 0.1636
Al28 Al 0.0241 0.8364 0.6727
Al29 Al 0.4759 0.8364 0.1636
Al30 Al 0.4759 0.3273 0.1636
Al31 Al 0.4759 0.8364 0.6727
Al32 Al 0.5241 0.1636 0.8364
Al33 Al 0.5241 0.6727 0.8364
Al34 Al 0.5241 0.1636 0.3273

---

No. 6
# DyAl3 (meta-GGA SCAN, single point on PBEsol structure)
# energy of formation	-0.46	eV/atom
# theoretical density	5.36	g cm⁻³
# total energy	-0.670	hartree per atom
data_DyAl3
_chemical_formula_sum 'Dy3 Al9'
_symmetry_space_group_name_H-M 'P 1'
_symmetry_Int_Tables_number 1
_symmetry_space_group_name_Hall 'P 1'
_cell_length_a 6.0991
_cell_length_b 6.0991
_cell_length_c 7.8574
_cell_angle_alpha 67.16
_cell_angle_beta 67.16
_cell_angle_gamma 60.00
loop_
_atom_site_label
_atom_site_type_symbol
_atom_site_fract_x
_atom_site_fract_y
_atom_site_fract_z
Al1 Al 0.2945 0.7425 0.6685
Al2 Al 0.7425 0.2945 0.6685
Al3 Al 0.2945 0.2945 0.6685
Al4 Al 0.5000 0.0000 0.0000
Al5 Al 0.5000 0.5000 0.0000
Al6 Al 0.0000 0.5000 0.0000
Al7 Al 0.2575 0.7055 0.3315
Al8 Al 0.7055 0.2575 0.3315
Al9 Al 0.7055 0.7055 0.3315
Dy1 Dy 0.2189 0.2189 0.3433
Dy2 Dy 0.7811 0.7811 0.6567
Dy3 Dy 0.0000 0.0000 0.0000

---

Q: energy of formation of number 3 (Zr2AlCu)?
A: -0.29 eV/atom